[1]
# Fe3C | Alexandria | GGA-PBE | relaxed
# **Calculated volume**: 10.035 Å³ per atom
# **Formation energy from the elements**: 0.8127 eV per atom
# **Fermi-level density of states**: 5.6 states/eV per cell
data_Fe3C
_chemical_formula_sum 'Fe6 C2'
_symmetry_space_group_name_H-M 'P m -3 n'
_symmetry_Int_Tables_number 223
_symmetry_space_group_name_Hall '-P 4n 2 3'
_cell_length_a 4.314
_cell_length_b 4.314
_cell_length_c 4.314
_cell_angle_alpha 90.00
_cell_angle_beta 90.00
_cell_angle_gamma 90.00
loop_
_atom_site_label
_atom_site_type_symbol
_atom_site_fract_x
_atom_site_fract_y
_atom_site_fract_z
_atom_site_occupancy
Fe1 Fe 0.000 0.250 0.500 1
C1 C 0.000 0.000 0.000 1

---

[2]
# PmNdN2 | Alexandria | GGA-PBE | relaxed
# **Calculated volume**: 21.762 Å³ per atom
# **Uncorrected formation energy**: -0.49 eV per atom
# **Offset from the most stable computed form**: 912 meV per atom
# **Fermi-level density of states**: 9.0 states/eV per cell
data_PmNdN2
_chemical_formula_sum 'Pm3 Nd3 N6'
_symmetry_space_group_name_H-M 'R -3 m'
_symmetry_Int_Tables_number 166
_symmetry_space_group_name_Hall '-R 3 2"'
_cell_length_a 3.8514
_cell_length_b 3.8514
_cell_length_c 20.3281
_cell_angle_alpha 90.00
_cell_angle_beta 90.00
_cell_angle_gamma 120.00
loop_
_atom_site_label
_atom_site_type_symbol
_atom_site_fract_x
_atom_site_fract_y
_atom_site_fract_z
_atom_site_occupancy
Pm1 Pm 0.0000 0.0000 0.0000 1
Nd1 Nd 0.0000 0.0000 0.5000 1
N1 N 0.0000 0.0000 0.1079 1

---

[3]
# Y2ThSc7 | Alexandria | GGA-PBE | relaxed
# **Calculated volume**: 27.364 Å³ per atom
# **Formation energy from the elements**: 0.1444 eV per atom
# **Fermi-level density of states**: 32.5 states/eV per cell
data_Y2ThSc7
_chemical_formula_sum 'Y4 Th2 Sc14'
_symmetry_space_group_name_H-M 'C m m m'
_symmetry_Int_Tables_number 65
_symmetry_space_group_name_Hall '-C 2 2'
_cell_length_a 6.057
_cell_length_b 27.198
_cell_length_c 3.322
_cell_angle_alpha 90.00
_cell_angle_beta 90.00
_cell_angle_gamma 90.00
loop_
_atom_site_label
_atom_site_type_symbol
_atom_site_fract_x
_atom_site_fract_y
_atom_site_fract_z
_atom_site_occupancy
Y1 Y 0.000 0.210 0.000 1
Th1 Th 0.000 0.500 0.500 1
Sc1 Sc 0.000 0.000 0.000 1
Sc2 Sc 0.000 0.318 0.500 1
Sc3 Sc 0.247 0.402 0.000 1

---

[4]
# Ti6BiS12 | Alexandria | GGA-PBE | relaxed
# **Calculated volume**: 18.822 Å³ per atom
# **Uncorrected formation energy**: -0.79 eV per atom
# **Fermi-level density of states**: 29.8 states/eV per cell
data_Ti6BiS12
_chemical_formula_sum 'Ti18 Bi3 S36'
_symmetry_space_group_name_H-M 'R -3 m'
_symmetry_Int_Tables_number 166
_symmetry_space_group_name_Hall '-R 3 2"'
_cell_length_a 11.7378
_cell_length_b 11.7378
_cell_length_c 8.9917
_cell_angle_alpha 90.00
_cell_angle_beta 90.00
_cell_angle_gamma 120.00
loop_
_atom_site_label
_atom_site_type_symbol
_atom_site_fract_x
_atom_site_fract_y
_atom_site_fract_z
_atom_site_occupancy
Ti1 Ti 0.0720 0.5360 0.2878 1
Bi1 Bi 0.0000 0.0000 0.0000 1
S1 S 0.0000 0.3741 0.5000 1
S2 S 0.0914 0.1829 0.3576 1

---

Among the records above, which one has the lowest Fermi-level density of states? Fe3C

---

Repeat the first record exactly.
# Fe3C | Alexandria | GGA-PBE | relaxed
# **Calculated volume**: 10.035 Å³ per atom
# **Formation energy from the elements**: 0.8127 eV per atom
# **Fermi-level density of states**: 5.6 states/eV per cell
data_Fe3C
_chemical_formula_sum 'Fe6 C2'
_symmetry_space_group_name_H-M 'P m -3 n'
_symmetry_Int_Tables_number 223
_symmetry_space_group_name_Hall '-P 4n 2 3'
_cell_length_a 4.314
_cell_length_b 4.314
_cell_length_c 4.314
_cell_angle_alpha 90.00
_cell_angle_beta 90.00
_cell_angle_gamma 90.00
loop_
_atom_site_label
_atom_site_type_symbol
_atom_site_fract_x
_atom_site_fract_y
_atom_site_fract_z
_atom_site_occupancy
Fe1 Fe 0.000 0.250 0.500 1
C1 C 0.000 0.000 0.000 1

---

The highest calculated volume belongs to which entry? Y2ThSc7